No. 1
This record from OQMD describes an optimized crystal structure of LiPaO3. The functional is GGA-PBE.

Cell: 3.571 3.571 4.535 Å, 90.00 90.00 90.00°
Element x y z (fractional)
Li: 0.000 0.000 0.000
Pa: 0.500 0.500 0.415
O: 0.000 0.000 0.596
O: 0.000 0.500 0.145
O: 0.500 0.000 0.145

As for the total energy: -7.556 eV per atom. As for the crystal system: tetragonal.


No. 2
This record from OQMD describes an optimized crystal structure of Li4Pa2O5. The functional is GGA-PBE.

Cell: 7.476 7.476 4.541 Å, 90.00 90.00 143.65°
Element x y z (fractional)
Li: 0.000 0.000 0.000
Li: 0.173 0.827 0.500
Li: 0.500 0.500 0.500
Li: 0.827 0.173 0.500
Pa: 0.341 0.659 0.000
Pa: 0.659 0.341 0.000
O: 0.162 0.838 0.000
O: 0.327 0.673 0.500
O: 0.500 0.500 0.000
O: 0.673 0.327 0.500
O: 0.838 0.162 0.000

As for the total energy: -6.658 eV per atom. As for the crystal system: orthorhombic.


No. 3
This record from OQMD describes an optimized crystal structure of LiPaO3. The functional is GGA-PBE.

Cell: 5.976 5.976 5.976 Å, 54.91 54.91 54.91°
Element x y z (fractional)
Li: 0.250 0.250 0.250
Li: 0.750 0.750 0.750
Pa: 0.000 0.000 0.000
Pa: 0.500 0.500 0.500
O: 0.097 0.750 0.403
O: 0.250 0.597 0.903
O: 0.403 0.097 0.750
O: 0.597 0.903 0.250
O: 0.750 0.403 0.097
O: 0.903 0.250 0.597

As for the total energy: -7.955 eV per atom. As for the crystal system: trigonal.


No. 4
This record from OQMD describes an optimized crystal structure of LiPaO3. The functional is GGA-PBE.

Cell: 5.801 7.351 5.166 Å, 90.00 90.00 90.00°
Element x y z (fractional)
Li: 0.000 0.000 0.000
Li: 0.000 0.500 0.000
Li: 0.500 0.000 0.500
Li: 0.500 0.500 0.500
Pa: 0.100 0.250 0.472
Pa: 0.400 0.750 0.972
Pa: 0.600 0.250 0.028
Pa: 0.900 0.750 0.528
O: 0.052 0.750 0.140
O: 0.173 0.566 0.676
O: 0.173 0.934 0.676
O: 0.327 0.066 0.176
O: 0.327 0.434 0.176
O: 0.448 0.250 0.640
O: 0.552 0.750 0.360
O: 0.673 0.566 0.824
O: 0.673 0.934 0.824
O: 0.827 0.066 0.324
O: 0.827 0.434 0.324
O: 0.948 0.250 0.860

As for the total energy: -7.927 eV per atom. As for the crystal system: orthorhombic.


No. 5
This record from OQMD describes an optimized crystal structure of Li8Pa4O11. The functional is GGA-PBE.

Cell: 5.294 5.609 10.466 Å, 83.09 83.52 72.72°
Element x y z (fractional)
Li: 0.000 0.000 0.000
Li: 0.025 0.490 0.067
Li: 0.051 0.669 0.541
Li: 0.288 0.400 0.860
Li: 0.465 0.143 0.084
Li: 0.529 0.437 0.536
Li: 0.562 0.915 0.547
Li: 0.842 0.903 0.215
Pa: 0.137 0.161 0.363
Pa: 0.453 0.611 0.211
Pa: 0.630 0.719 0.859
Pa: 0.967 0.177 0.706
O: 0.012 0.552 0.261
O: 0.158 0.009 0.161
O: 0.256 0.275 0.543
O: 0.385 0.750 0.417
O: 0.386 0.501 0.018
O: 0.558 0.196 0.265
O: 0.561 0.122 0.790
O: 0.721 0.814 0.057
O: 0.723 0.585 0.653
O: 0.851 0.059 0.526
O: 0.956 0.335 0.903

For the energy above the most stable polymorph in this dataset, the calculation gives 0 meV per atom. As for the crystal system: triclinic.


No. 6
This record from OQMD describes an optimized crystal structure of Li3Pa4O12. The functional is GGA-PBE.

Cell: 7.058 7.058 7.058 Å, 109.47 109.47 109.47°
Element x y z (fractional)
Li: 0.000 0.500 0.500
Li: 0.500 0.000 0.500
Li: 0.500 0.500 0.000
Pa: 0.000 0.000 0.500
Pa: 0.000 0.500 0.000
Pa: 0.500 0.000 0.000
Pa: 0.500 0.500 0.500
O: 0.140 0.318 0.823
O: 0.177 0.495 0.318
O: 0.177 0.860 0.682
O: 0.318 0.177 0.495
O: 0.318 0.823 0.140
O: 0.495 0.318 0.177
O: 0.505 0.682 0.823
O: 0.682 0.177 0.860
O: 0.682 0.823 0.505
O: 0.823 0.140 0.318
O: 0.823 0.505 0.682
O: 0.860 0.682 0.177

As for the total energy: -8.026 eV per atom. As for the crystal system: cubic.


No. 7
This record from OQMD describes an optimized crystal structure of Li4ScPaO6. The functional is GGA-PBE.

Cell: 5.487 5.487 5.231 Å, 99.62 99.62 120.25°
Element x y z (fractional)
Li: 0.000 0.000 0.000
Li: 0.158 0.842 0.500
Li: 0.474 0.526 0.500
Li: 0.861 0.139 0.500
Sc: 0.331 0.669 0.000
Pa: 0.666 0.334 0.000
O: 0.089 0.427 0.239
O: 0.259 0.270 0.756
O: 0.415 0.065 0.237
O: 0.573 0.911 0.761
O: 0.730 0.741 0.244
O: 0.935 0.585 0.763

As for the total energy: -6.992 eV per atom. As for the crystal system: monoclinic.


No. 8
This record from OQMD describes an optimized crystal structure of Li4YPaO6. The functional is GGA-PBE.

Cell: 5.646 5.646 5.302 Å, 99.91 99.91 120.14°
Element x y z (fractional)
Li: 0.000 0.000 0.000
Li: 0.141 0.859 0.500
Li: 0.491 0.509 0.500
Li: 0.865 0.135 0.500
Y: 0.331 0.669 0.000
Pa: 0.667 0.333 0.000
O: 0.072 0.414 0.243
O: 0.261 0.257 0.749
O: 0.414 0.088 0.236
O: 0.586 0.928 0.757
O: 0.743 0.739 0.251
O: 0.912 0.586 0.764

As for the total energy: -6.952 eV per atom. As for the crystal system: monoclinic.


no.,spin magnetization (μB/atom)
1,0.00
2,0.13
3,0.00
4,0.00
5,0.17
6,0.05
7,0.00
8,0.00